[1]
{
  "formula": "Li8ErAu6",
  "functional": "PBE-GGA",
  "state": "relaxed",
  "e_form_ev_per_atom": -0.46,
  "energy_ev_per_atom": -3.096,
  "mass_density_g_cm3": 7.932,
  "spacegroup": "R-3 (148)",
  "lattice": [[3.9925, 2.3051, 5.3255], [-3.9925, 2.3051, 5.3255], [0.0000, -4.6101, 5.3255]],
  "species": ["Li", "Li", "Li", "Li", "Li", "Li", "Li", "Li", "Er", "Au", "Au", "Au", "Au", "Au", "Au"],
  "fractional_positions": [[0.0201, 0.7171, 0.3981], [0.1602, 0.1602, 0.1602], [0.2829, 0.6019, 0.9799], [0.3981, 0.0201, 0.7171], [0.6019, 0.9799, 0.2829], [0.7171, 0.3981, 0.0201], [0.8398, 0.8398, 0.8398], [0.9799, 0.2829, 0.6019], [0.5000, 0.5000, 0.5000], [0.1075, 0.4550, 0.7944], [0.2056, 0.8925, 0.5450], [0.4550, 0.7944, 0.1075], [0.5450, 0.2056, 0.8925], [0.7944, 0.1075, 0.4550], [0.8925, 0.5450, 0.2056]]
}


[2]
{
  "formula": "LiErAu4",
  "functional": "PBE-GGA",
  "state": "relaxed",
  "e_form_ev_per_atom": -0.47,
  "energy_ev_per_atom": -3.738,
  "mass_density_g_cm3": 12.465,
  "spacegroup": "Cmmm (65)",
  "lattice": [[2.7624, -3.2331, 0.0000], [2.7624, 3.2331, 0.0000], [0.0000, 0.0000, 7.1749]],
  "species": ["Li", "Er", "Au", "Au", "Au", "Au"],
  "fractional_positions": [[0.0000, 0.0000, 0.0000], [0.5000, 0.5000, 0.5000], [0.0000, 0.5000, 0.2182], [0.0000, 0.5000, 0.7818], [0.5000, 0.0000, 0.2182], [0.5000, 0.0000, 0.7818]]
}